# 1
This record from the Alexandria database describes a geometry-optimized Dy4SiTe2Se structure. The functional is PBE.

a b c (Å): 7.2618 4.1979 7.4790
angles (deg): 90.00 109.00 90.00
Atoms (fractional coordinates):
Dy: 0.2305 0.0000 0.2175
Dy: 0.2496 0.5000 0.7814
Dy: 0.7504 0.5000 0.2186
Dy: 0.7695 0.0000 0.7825
Si: 0.0000 0.5000 0.0000
Te: 0.0000 0.0000 0.5000
Te: 0.5000 0.5000 0.5000
Se: 0.5000 0.0000 0.0000

- raw formation energy (meV/atom) = -1371.5
- theoretical density (Mg/m³) = 7.8

# 2
This record from the Alexandria database describes a geometry-optimized Dy6CuBi3 structure. The functional is PBE.

a b c (Å): 9.7255 9.7255 6.8648
angles (deg): 90.00 90.00 110.23
Atoms (fractional coordinates):
Dy: 0.0174 0.9826 0.5000
Dy: 0.1042 0.5680 0.0701
Dy: 0.2333 0.3664 0.7073
Dy: 0.2449 0.7551 0.5641
Dy: 0.3664 0.2333 0.2073
Dy: 0.4320 0.8958 0.0701
Dy: 0.5680 0.1042 0.5701
Dy: 0.6336 0.7667 0.7073
Dy: 0.7551 0.2449 0.0641
Dy: 0.7667 0.6336 0.2073
Dy: 0.8958 0.4320 0.5701
Dy: 0.9826 0.0174 0.0000
Cu: 0.1454 0.8546 0.2153
Cu: 0.8546 0.1454 0.7153
Bi: 0.0726 0.2847 0.2988
Bi: 0.2847 0.0726 0.7988
Bi: 0.4343 0.5657 0.0439
Bi: 0.5657 0.4343 0.5439
Bi: 0.7153 0.9274 0.2988
Bi: 0.9274 0.7153 0.7988

- E_form (eV/atom) = -0.358
- theoretical density (Mg/m³) = 9.1

# 3
This record from the Alexandria database describes a geometry-optimized PrThAlCu structure. The functional is PBE.

a b c (Å): 5.2062 5.2062 5.2062
angles (deg): 60.00 60.00 60.00
Atoms (fractional coordinates):
Pr: 0.0000 0.0000 0.0000
Th: 0.5000 0.5000 0.5000
Al: 0.7500 0.7500 0.7500
Cu: 0.2500 0.2500 0.2500

- E_form (eV/atom) = -0.128
- theoretical density (Mg/m³) = 7.7

# 4
This record from the Alexandria database describes a geometry-optimized CsK2CaAu structure. The functional is PBE.

a b c (Å): 6.7634 6.7634 5.9560
angles (deg): 90.00 90.00 90.00
Atoms (fractional coordinates):
Cs: 0.0000 0.0000 0.0000
K: 0.0000 0.5000 0.5000
K: 0.5000 0.0000 0.5000
Ca: 0.5000 0.5000 0.0000
Au: 0.5000 0.5000 0.5000

- E_form (eV/atom) = -0.109
- theoretical density (Mg/m³) = 2.7

# 5
This record from the Alexandria database describes a geometry-optimized NiPtBr2 structure. The functional is PBE.

a b c (Å): 7.9618 7.9618 7.9618
angles (deg): 155.12 152.96 37.07
Atoms (fractional coordinates):
Ni: 0.0000 0.0000 0.0000
Pt: 0.1331 0.6331 0.5000
Br: 0.4455 0.4455 0.0000
Br: 0.6763 0.1763 0.5000

- raw formation energy (meV/atom) = 318.4
- theoretical density (Mg/m³) = 7.1

# 6
This record from the Alexandria database describes a geometry-optimized Cd2CuRe structure. The functional is PBE.

a b c (Å): 5.1112 5.1112 5.0725
angles (deg): 103.62 103.62 31.48
Atoms (fractional coordinates):
Cd: 0.2378 0.2378 0.2449
Cd: 0.7622 0.7622 0.7551
Cu: 0.5000 0.5000 0.0000
Re: 0.0000 0.0000 0.5000

- E_form (eV/atom) = 0.544
- theoretical density (Mg/m³) = 11.7

# 7
This record from the Alexandria database describes a geometry-optimized SrMg2V structure. The functional is PBE.

a b c (Å): 5.3003 5.3003 5.3003
angles (deg): 60.00 60.00 60.00
Atoms (fractional coordinates):
Sr: 0.0000 0.0000 0.0000
Mg: 0.2500 0.2500 0.2500
Mg: 0.7500 0.7500 0.7500
V: 0.5000 0.5000 0.5000

- E_form (eV/atom) = 0.446
- theoretical density (Mg/m³) = 3.0

# 8
This record from the Alexandria database describes a geometry-optimized GaHg2Sb structure. The functional is PBE.

a b c (Å): 3.2774 3.2774 9.1236
angles (deg): 90.00 90.00 90.00
Atoms (fractional coordinates):
Ga: 0.0000 0.0000 0.0000
Hg: 0.5000 0.5000 0.2287
Hg: 0.5000 0.5000 0.7713
Sb: 0.0000 0.0000 0.5000

- raw formation energy (meV/atom) = 132.4
- theoretical density (Mg/m³) = 10.0

Question: The highest theoretical density belongs to which entry?
Answer: Cd2CuRe

Question: Which of these has the highest theoretical density?
Answer: Cd2CuRe